1.
VASP calculation (PBE) on crystalline Ba6RhO2 at its relaxed geometry.

Space-group type: No. 2
Mass density: 3.9 g/cm³
Raw formation energy: -1.131 eV per atom

Cell: 7.747 8.120 13.287 Å, 97.95 90.50 93.17°
Atoms (fractional coordinates):
1 Ba 0.101 0.230 0.475
2 Ba 0.148 0.306 0.128
3 Ba 0.167 0.109 0.819
4 Ba 0.330 0.680 0.698
5 Ba 0.344 0.821 0.012
6 Ba 0.394 0.821 0.384
7 Ba 0.606 0.179 0.616
8 Ba 0.656 0.179 0.988
9 Ba 0.670 0.320 0.302
10 Ba 0.833 0.891 0.181
11 Ba 0.852 0.694 0.872
12 Ba 0.899 0.770 0.525
13 Rh 0.254 0.968 0.586
14 Rh 0.746 0.032 0.414
15 O 0.159 0.801 0.848
16 O 0.325 0.132 0.999
17 O 0.675 0.868 0.001
18 O 0.841 0.199 0.152

2.
VASP calculation (PBE) on crystalline Ba6RhO at its relaxed geometry.

Space-group type: No. 12
Mass density: 4.1 g/cm³
Raw formation energy: -0.631 eV per atom

Cell: 7.678 13.355 7.473 Å, 90.00 90.45 90.00°
Atoms (fractional coordinates):
1 Ba 0.148 0.147 0.267
2 Ba 0.148 0.853 0.267
3 Ba 0.206 0.500 0.266
4 Ba 0.294 0.000 0.734
5 Ba 0.352 0.353 0.733
6 Ba 0.352 0.647 0.733
7 Ba 0.648 0.353 0.267
8 Ba 0.648 0.647 0.267
9 Ba 0.706 0.000 0.266
10 Ba 0.794 0.500 0.734
11 Ba 0.852 0.147 0.733
12 Ba 0.852 0.853 0.733
13 Rh 0.000 0.000 0.000
14 Rh 0.500 0.500 0.000
15 O 0.000 0.000 0.500
16 O 0.500 0.500 0.500

Number 1 is which compound? Ba6RhO2

Look up the raw formation energy of the first one. -1.131 eV per atom

mass density of number 2 (Ba6RhO)? 4.1 g/cm³